DFT (GGA+U) results for a relaxed Mn2CrWO8 crystal.

- Symmetry: No. 119
- Magnetic moment: 10.00 μB/f.u.
- E_tot: -7.169 eV/atom

Cell: 5.6214 5.6214 5.6214 Å, 110.41 110.41 107.60°
Closest atoms and distances in Å follow each position.
Atoms (fractional coordinates):
1 Mn 0.0000 0.0000 0.0000  4 O 1.84
2 Mn 0.7500 0.2500 0.5000  4 O 1.88
3 Cr 0.5000 0.5000 0.0000  4 O 2.05
4 W 0.2500 0.7500 0.5000  8 O 1.97-2.19
5 O 0.1533 0.4708 0.6826  1 Mn 1.88, 1 Cr 2.05
6 O 0.2018 0.0049 0.8031  1 Mn 1.84, 1 W 1.97
7 O 0.2018 0.3987 0.1969  1 Mn 1.84, 1 W 1.97
8 O 0.5292 0.2118 0.6826  1 Mn 1.88, 1 Cr 2.05
9 O 0.5292 0.8467 0.3174  1 Mn 1.88, 1 Cr 2.05
10 O 0.6013 0.7982 0.8031  1 Mn 1.84, 1 W 1.97
11 O 0.7882 0.4708 0.3174  1 Mn 1.88, 1 Cr 2.05
12 O 0.9951 0.7982 0.1969  1 Mn 1.84, 1 W 1.97